Record 1
First-principles (GGA-PBE) data for TbCeSc2As4 after structural relaxation, as listed in Alexandria via LeMat-Bulk.

```
data_TbCeSc2As4
_chemical_formula_sum 'Tb1 Ce1 Sc2 As4'
_symmetry_space_group_name_H-M 'P 1 2/m 1'
_symmetry_Int_Tables_number 10
_symmetry_space_group_name_Hall '-P 2y'
_cell_length_a 6.945
_cell_length_b 4.039
_cell_length_c 6.995
_cell_angle_alpha 90.00
_cell_angle_beta 109.53
_cell_angle_gamma 90.00
loop_
_atom_site_label
_atom_site_type_symbol
_atom_site_fract_x
_atom_site_fract_y
_atom_site_fract_z
Tb1 Tb 0.000 0.000 0.000
Ce1 Ce 0.000 0.500 0.500
Sc1 Sc 0.500 0.000 0.500
Sc2 Sc 0.500 0.500 0.000
As1 As 0.266 0.500 0.255
As2 As 0.268 0.000 0.757
```

## Properties
ΔH_f (0 K): -11.34 eV per formula unit
mass density: 6.184 Mg/m³
N(E_F): 6.1 states/eV/f.u.



Record 2
First-principles (GGA-PBE) data for TbCe2Sc3As6 after structural relaxation, as listed in Alexandria via LeMat-Bulk.

```
data_TbCe2Sc3As6
_chemical_formula_sum 'Tb2 Ce4 Sc6 As12'
_symmetry_space_group_name_H-M 'C 1 2/m 1'
_symmetry_Int_Tables_number 12
_symmetry_space_group_name_Hall '-C 2y'
_cell_length_a 7.010
_cell_length_b 12.140
_cell_length_c 6.952
_cell_angle_alpha 90.00
_cell_angle_beta 109.63
_cell_angle_gamma 90.00
loop_
_atom_site_label
_atom_site_type_symbol
_atom_site_fract_x
_atom_site_fract_y
_atom_site_fract_z
Tb1 Tb 0.000 0.000 0.000
Ce1 Ce 0.000 0.333 0.000
Sc1 Sc 0.000 0.167 0.500
Sc2 Sc 0.000 0.500 0.500
As1 As 0.243 0.000 0.731
As2 As 0.245 0.334 0.733
```

## Properties
ΔH_f (0 K): -16.89 eV per formula unit
mass density: 6.100 Mg/m³
N(E_F): 11.0 states/eV/f.u.



Record 3
First-principles (GGA-PBE) data for Tb2CeScAs4 after structural relaxation, as listed in Alexandria via LeMat-Bulk.

```
data_Tb2CeScAs4
_chemical_formula_sum 'Tb2 Ce1 Sc1 As4'
_symmetry_space_group_name_H-M 'P 1 2/m 1'
_symmetry_Int_Tables_number 10
_symmetry_space_group_name_Hall '-P 2y'
_cell_length_a 7.074
_cell_length_b 4.102
_cell_length_c 7.101
_cell_angle_alpha 90.00
_cell_angle_beta 109.39
_cell_angle_gamma 90.00
loop_
_atom_site_label
_atom_site_type_symbol
_atom_site_fract_x
_atom_site_fract_y
_atom_site_fract_z
Tb1 Tb 0.000 0.000 0.000
Tb2 Tb 0.500 0.500 0.000
Ce1 Ce 0.000 0.500 0.500
Sc1 Sc 0.500 0.000 0.500
As1 As 0.257 0.000 0.746
As2 As 0.261 0.500 0.260
```

## Properties
ΔH_f (0 K): -11.60 eV per formula unit
mass density: 6.857 Mg/m³
N(E_F): 5.8 states/eV/f.u.



Record 4
First-principles (GGA-PBE) data for TbCe3Sc2As6 after structural relaxation, as listed in Alexandria via LeMat-Bulk.

```
data_TbCe3Sc2As6
_chemical_formula_sum 'Tb2 Ce6 Sc4 As12'
_symmetry_space_group_name_H-M 'C 1 2/m 1'
_symmetry_Int_Tables_number 12
_symmetry_space_group_name_Hall '-C 2y'
_cell_length_a 7.108
_cell_length_b 12.311
_cell_length_c 7.065
_cell_angle_alpha 90.00
_cell_angle_beta 109.65
_cell_angle_gamma 90.00
loop_
_atom_site_label
_atom_site_type_symbol
_atom_site_fract_x
_atom_site_fract_y
_atom_site_fract_z
Tb1 Tb 0.000 0.000 0.000
Ce1 Ce 0.000 0.164 0.500
Ce2 Ce 0.000 0.500 0.500
Sc1 Sc 0.000 0.332 0.000
As1 As 0.236 0.500 0.234
As2 As 0.250 0.171 0.237
```

## Properties
ΔH_f (0 K): -16.91 eV per formula unit
mass density: 6.381 Mg/m³
N(E_F): 15.9 states/eV/f.u.



Record 5
First-principles (GGA-PBE) data for Tb2Ce3ScAs6 after structural relaxation, as listed in Alexandria via LeMat-Bulk.

```
data_Tb2Ce3ScAs6
_chemical_formula_sum 'Tb4 Ce6 Sc2 As12'
_symmetry_space_group_name_H-M 'C 1 2/m 1'
_symmetry_Int_Tables_number 12
_symmetry_space_group_name_Hall '-C 2y'
_cell_length_a 7.174
_cell_length_b 12.426
_cell_length_c 7.152
_cell_angle_alpha 90.00
_cell_angle_beta 109.58
_cell_angle_gamma 90.00
loop_
_atom_site_label
_atom_site_type_symbol
_atom_site_fract_x
_atom_site_fract_y
_atom_site_fract_z
Tb1 Tb 0.000 0.166 0.000
Ce1 Ce 0.000 0.000 0.500
Ce2 Ce 0.000 0.331 0.500
Sc1 Sc 0.000 0.500 0.000
As1 As 0.243 0.337 0.241
As2 As 0.244 0.500 0.756
```

## Properties
ΔH_f (0 K): -17.32 eV per formula unit
mass density: 6.815 Mg/m³
N(E_F): 16.8 states/eV/f.u.



Record 6
First-principles (GGA-PBE) data for Ce2ThScAs4 after structural relaxation, as listed in Alexandria via LeMat-Bulk.

```
data_Ce2ThScAs4
_chemical_formula_sum 'Ce2 Th1 Sc1 As4'
_symmetry_space_group_name_H-M 'P 1 2/m 1'
_symmetry_Int_Tables_number 10
_symmetry_space_group_name_Hall '-P 2y'
_cell_length_a 7.176
_cell_length_b 4.169
_cell_length_c 7.222
_cell_angle_alpha 90.00
_cell_angle_beta 109.48
_cell_angle_gamma 90.00
loop_
_atom_site_label
_atom_site_type_symbol
_atom_site_fract_x
_atom_site_fract_y
_atom_site_fract_z
Ce1 Ce 0.000 0.000 0.000
Ce2 Ce 0.500 0.500 0.000
Th1 Th 0.000 0.500 0.500
Sc1 Sc 0.500 0.000 0.500
As1 As 0.260 0.000 0.745
As2 As 0.265 0.500 0.262
```

## Properties
ΔH_f (0 K): -11.10 eV per formula unit
mass density: 6.985 Mg/m³
N(E_F): 11.8 states/eV/f.u.



Record 7
First-principles (GGA-PBE) data for Ce2Th3ScAs6 after structural relaxation, as listed in Alexandria via LeMat-Bulk.

```
data_Ce2Th3ScAs6
_chemical_formula_sum 'Ce4 Th6 Sc2 As12'
_symmetry_space_group_name_H-M 'C 1 2/m 1'
_symmetry_Int_Tables_number 12
_symmetry_space_group_name_Hall '-C 2y'
_cell_length_a 18.230
_cell_length_b 4.198
_cell_length_c 8.364
_cell_angle_alpha 90.00
_cell_angle_beta 103.14
_cell_angle_gamma 90.00
loop_
_atom_site_label
_atom_site_type_symbol
_atom_site_fract_x
_atom_site_fract_y
_atom_site_fract_z
Ce1 Ce 0.165 0.000 0.331
Th1 Th 0.000 0.500 0.500
Th2 Th 0.168 0.000 0.835
Sc1 Sc 0.000 0.500 0.000
As1 As 0.000 0.000 0.236
As2 As 0.160 0.500 0.083
As3 As 0.168 0.500 0.582
```

## Properties
ΔH_f (0 K): -16.70 eV per formula unit
mass density: 7.836 Mg/m³
N(E_F): 13.5 states/eV/f.u.



Record 8
First-principles (GGA-PBE) data for CeThSc2As4 after structural relaxation, as listed in Alexandria via LeMat-Bulk.

```
data_CeThSc2As4
_chemical_formula_sum 'Ce1 Th1 Sc2 As4'
_symmetry_space_group_name_H-M 'P 1 2/m 1'
_symmetry_Int_Tables_number 10
_symmetry_space_group_name_Hall '-P 2y'
_cell_length_a 6.982
_cell_length_b 4.091
_cell_length_c 7.079
_cell_angle_alpha 90.00
_cell_angle_beta 109.77
_cell_angle_gamma 90.00
loop_
_atom_site_label
_atom_site_type_symbol
_atom_site_fract_x
_atom_site_fract_y
_atom_site_fract_z
Ce1 Ce 0.000 0.000 0.000
Th1 Th 0.000 0.500 0.500
Sc1 Sc 0.500 0.000 0.500
Sc2 Sc 0.500 0.500 0.000
As1 As 0.271 0.500 0.256
As2 As 0.273 0.000 0.759
```

## Properties
ΔH_f (0 K): -11.09 eV per formula unit
mass density: 6.649 Mg/m³
N(E_F): 7.0 states/eV/f.u.